Here is a relaxed MgSc5Cu crystal from the Alexandria database. Energies are from GGA-PBE.

```
14
Lattice="-6.140 1.380 1.754 -0.888 -5.426 3.528 -1.906 1.140 10.016" Properties=species:S:1:pos:R:3 pbc="T T T"
Mg -5.729 0.515 4.558
Mg -3.205 -3.422 10.741
Sc -5.080 -2.649 5.015
Sc -3.418 -2.555 7.948
Sc -6.067 -2.035 10.012
Sc -2.179 -4.087 5.757
Sc -4.624 -2.174 12.982
Sc -4.310 -0.733 2.317
Sc -6.756 1.180 9.541
Sc -2.867 -0.871 5.287
Sc -5.517 -0.352 7.350
Sc -3.855 -0.257 10.284
Cu 0.000 0.000 0.000
Cu -0.953 0.570 5.008
```

space group = C2/c
total moment = 0.0 Bohr magnetons per cell
VASP energy = -5.134 eV/atom